(1)
## YIn4Fe (GGA-PBE)

Data for crystalline YIn4Fe at its relaxed geometry.

Lattice parameters (Å, degrees): 5.9007 5.9007 5.9007 60.00 60.00 60.00
Positions (direct):
1 Y 0.0000 0.0000 0.0000
2 In 0.3753 0.3753 0.3753
3 In 0.3753 0.3753 0.8742
4 In 0.3753 0.8742 0.3753
5 In 0.8742 0.3753 0.3753
6 Fe 0.7500 0.7500 0.7500

Values from the calculation:
space-group type = F-43m (216)
electronic total energy = -4.067 eV/atom
size of the total moment = 3.0 μB per formula unit
formation energy = 0.247 eV/atom

---

(2)
## YInFe2 (GGA-PBE)

Data for crystalline YInFe2 at its relaxed geometry.

Lattice parameters (Å, degrees): 5.5559 5.5559 5.5559 145.20 130.60 61.84
Positions (direct):
1 Y 0.0000 0.0000 0.0000
2 In 0.7177 0.2177 0.5000
3 Fe 0.2820 0.7820 0.5000
4 Fe 0.4606 0.4606 0.0000

Values from the calculation:
space-group type = Imm2 (44)
electronic total energy = -6.452 eV/atom
size of the total moment = 3.7 μB per formula unit
formation energy = 0.080 eV/atom

---

(3)
## Y2InFe (GGA-PBE)

Data for crystalline Y2InFe at its relaxed geometry.

Lattice parameters (Å, degrees): 5.0078 5.0078 5.0078 60.00 60.00 60.00
Positions (direct):
1 Y 0.0000 0.0000 0.0000
2 Y 0.2500 0.2500 0.2500
3 In 0.7500 0.7500 0.7500
4 Fe 0.5000 0.5000 0.5000

Values from the calculation:
space-group type = F-43m (216)
electronic total energy = -5.933 eV/atom
size of the total moment = 1.0 μB per formula unit
formation energy = 0.099 eV/atom

---

(4)
## YIn2Fe (GGA-PBE)

Data for crystalline YIn2Fe at its relaxed geometry.

Lattice parameters (Å, degrees): 4.8616 4.8616 4.8616 60.00 60.00 60.00
Positions (direct):
1 Y 0.0000 0.0000 0.0000
2 In 0.2500 0.2500 0.2500
3 In 0.7500 0.7500 0.7500
4 Fe 0.5000 0.5000 0.5000

Values from the calculation:
space-group type = Fm-3m (225)
electronic total energy = -4.999 eV/atom
size of the total moment = 0.0 μB per formula unit
formation energy = 0.102 eV/atom

---

(5)
## Y3InFe3 (GGA-PBE)

Data for crystalline Y3InFe3 at its relaxed geometry.

Lattice parameters (Å, degrees): 9.6045 9.6045 3.9707 90.00 90.00 120.00
Positions (direct):
1 Y 0.0718 0.3885 0.2500
2 Y 0.3167 0.9282 0.2500
3 Y 0.3885 0.3167 0.7500
4 Y 0.6115 0.6833 0.2500
5 Y 0.6833 0.0718 0.7500
6 Y 0.9282 0.6115 0.7500
7 In 0.3333 0.6667 0.7500
8 In 0.6667 0.3333 0.2500
9 Fe 0.0206 0.1536 0.7500
10 Fe 0.1330 0.9794 0.7500
11 Fe 0.1536 0.1330 0.2500
12 Fe 0.8464 0.8670 0.7500
13 Fe 0.8670 0.0206 0.2500
14 Fe 0.9794 0.8464 0.2500

Values from the calculation:
space-group type = P6_3/m (176)
electronic total energy = -6.891 eV/atom
size of the total moment = 5.1 μB per formula unit
formation energy = -0.102 eV/atom

---

(6)
## Y2InFe (GGA-PBE)

Data for crystalline Y2InFe at its relaxed geometry.

Lattice parameters (Å, degrees): 5.1330 5.1330 3.6486 90.00 90.00 90.00
Positions (direct):
1 Y 0.0000 0.5000 0.0000
2 Y 0.5000 0.0000 0.0000
3 In 0.0000 0.0000 0.5000
4 Fe 0.5000 0.5000 0.5000

Values from the calculation:
space-group type = P4/mmm (123)
electronic total energy = -6.115 eV/atom
size of the total moment = 1.7 μB per formula unit
formation energy = -0.083 eV/atom

---

(7)
## YIn2Fe (GGA-PBE)

Data for crystalline YIn2Fe at its relaxed geometry.

Lattice parameters (Å, degrees): 4.8609 4.8609 5.4630 109.66 109.66 48.81
Positions (direct):
1 Y 0.0000 0.0000 0.0000
2 In 0.2233 0.2233 0.6799
3 In 0.7767 0.7767 0.3201
4 Fe 0.5000 0.5000 0.5000

Values from the calculation:
space-group type = C2/m (12)
electronic total energy = -5.125 eV/atom
size of the total moment = 1.9 μB per formula unit
formation energy = -0.024 eV/atom

---

(8)
## Y2InFe (GGA-PBE)

Data for crystalline Y2InFe at its relaxed geometry.

Lattice parameters (Å, degrees): 3.4945 3.5298 7.6206 90.00 90.00 90.00
Positions (direct):
1 Y 0.0000 0.0000 0.2155
2 Y 0.0000 0.0000 0.7845
3 In 0.5000 0.5000 0.5000
4 Fe 0.5000 0.5000 0.0000

Values from the calculation:
space-group type = Pmmm (47)
electronic total energy = -6.213 eV/atom
size of the total moment = 1.4 μB per formula unit
formation energy = -0.181 eV/atom

---

(9)
## ZnIn2Fe (GGA-PBE)

Data for crystalline ZnIn2Fe at its relaxed geometry.

Lattice parameters (Å, degrees): 5.1116 5.1116 5.1116 131.97 131.97 70.27
Positions (direct):
1 Zn 0.0000 0.0000 0.0000
2 In 0.2500 0.7500 0.5000
3 In 0.7500 0.2500 0.5000
4 Fe 0.5000 0.5000 0.0000

Values from the calculation:
space-group type = I4/mmm (139)
electronic total energy = -3.531 eV/atom
size of the total moment = 2.0 μB per formula unit
formation energy = 0.272 eV/atom

---

(10)
## ZnInFe3 (GGA-PBE)

Data for crystalline ZnInFe3 at its relaxed geometry.

Lattice parameters (Å, degrees): 4.7897 4.7897 4.7897 90.00 90.00 90.00
Positions (direct):
1 Zn 0.0000 0.0000 0.0000
2 In 0.5000 0.5000 0.5000
3 Fe 0.0000 0.5000 0.5000
4 Fe 0.5000 0.0000 0.5000
5 Fe 0.5000 0.5000 0.0000

Values from the calculation:
space-group type = Pm-3m (221)
electronic total energy = -4.311 eV/atom
size of the total moment = 8.5 μB per formula unit
formation energy = 1.569 eV/atom

---

(11)
## ZnIn4Fe (GGA-PBE)

Data for crystalline ZnIn4Fe at its relaxed geometry.

Lattice parameters (Å, degrees): 5.9447 5.9447 5.9447 60.00 60.00 60.00
Positions (direct):
1 Zn 0.0000 0.0000 0.0000
2 In 0.3751 0.3751 0.3751
3 In 0.3751 0.3751 0.8747
4 In 0.3751 0.8747 0.3751
5 In 0.8747 0.3751 0.3751
6 Fe 0.7500 0.7500 0.7500

Values from the calculation:
space-group type = F-43m (216)
electronic total energy = -2.817 eV/atom
size of the total moment = 2.9 μB per formula unit
formation energy = 0.632 eV/atom

---

(12)
## ZnIn2Fe (GGA-PBE)

Data for crystalline ZnIn2Fe at its relaxed geometry.

Lattice parameters (Å, degrees): 5.2792 5.2792 5.2792 135.10 135.10 65.37
Positions (direct):
1 Zn 0.0000 0.0000 0.0000
2 In 0.2500 0.7500 0.5000
3 In 0.5000 0.5000 0.0000
4 Fe 0.7500 0.2500 0.5000

Values from the calculation:
space-group type = I-4m2 (119)
electronic total energy = -3.533 eV/atom
size of the total moment = 2.0 μB per formula unit
formation energy = 0.271 eV/atom

---

(13)
## ZnIn3Fe (GGA-PBE)

Data for crystalline ZnIn3Fe at its relaxed geometry.

Lattice parameters (Å, degrees): 5.0075 5.0075 5.0075 90.00 90.00 90.00
Positions (direct):
1 Zn 0.0000 0.0000 0.0000
2 In 0.0000 0.5000 0.5000
3 In 0.5000 0.0000 0.5000
4 In 0.5000 0.5000 0.0000
5 Fe 0.5000 0.5000 0.5000

Values from the calculation:
space-group type = Pm-3m (221)
electronic total energy = -3.298 eV/atom
size of the total moment = 0.6 μB per formula unit
formation energy = 0.293 eV/atom

---

(14)
## ZnIn2Fe (GGA-PBE)

Data for crystalline ZnIn2Fe at its relaxed geometry.

Lattice parameters (Å, degrees): 2.9973 2.9973 8.5779 90.00 90.00 90.00
Positions (direct):
1 Zn 0.0000 0.0000 0.0000
2 In 0.0000 0.0000 0.3989
3 In 0.5000 0.5000 0.7262
4 Fe 0.5000 0.5000 0.1763

Values from the calculation:
space-group type = P4mm (99)
electronic total energy = -3.579 eV/atom
size of the total moment = 2.5 μB per formula unit
formation energy = 0.225 eV/atom

---

(15)
## Zn2In2Fe (GGA-PBE)

Data for crystalline Zn2In2Fe at its relaxed geometry.

Lattice parameters (Å, degrees): 6.7637 6.7637 4.1264 90.00 90.00 90.00
Positions (direct):
1 Zn 0.1364 0.3636 0.0000
2 Zn 0.3636 0.8636 0.0000
3 Zn 0.6364 0.1364 0.0000
4 Zn 0.8636 0.6364 0.0000
5 In 0.1741 0.6741 0.5000
6 In 0.3259 0.1741 0.5000
7 In 0.6741 0.8259 0.5000
8 In 0.8259 0.3259 0.5000
9 Fe 0.0000 0.0000 0.0000
10 Fe 0.5000 0.5000 0.0000

Values from the calculation:
space-group type = P4/mbm (127)
electronic total energy = -2.989 eV/atom
size of the total moment = 2.6 μB per formula unit
formation energy = 0.309 eV/atom

---

(16)
## ZnIn2Fe (GGA-PBE)

Data for crystalline ZnIn2Fe at its relaxed geometry.

Lattice parameters (Å, degrees): 4.8057 4.8057 4.8057 60.00 60.00 60.00
Positions (direct):
1 Zn 0.0000 0.0000 0.0000
2 In 0.2500 0.2500 0.2500
3 In 0.5000 0.5000 0.5000
4 Fe 0.7500 0.7500 0.7500

Values from the calculation:
space-group type = F-43m (216)
electronic total energy = -3.342 eV/atom
size of the total moment = 2.9 μB per formula unit
formation energy = 0.461 eV/atom

---

(17)
## ZnIn2Fe (GGA-PBE)

Data for crystalline ZnIn2Fe at its relaxed geometry.

Lattice parameters (Å, degrees): 4.2868 4.2868 3.9761 90.00 90.00 90.00
Positions (direct):
1 Zn 0.0000 0.0000 0.0000
2 In 0.0000 0.5000 0.5000
3 In 0.5000 0.0000 0.5000
4 Fe 0.5000 0.5000 0.0000

Values from the calculation:
space-group type = P4/mmm (123)
electronic total energy = -3.502 eV/atom
size of the total moment = 2.5 μB per formula unit
formation energy = 0.301 eV/atom

---

(18)
## ZnIn2Fe (GGA-PBE)

Data for crystalline ZnIn2Fe at its relaxed geometry.

Lattice parameters (Å, degrees): 9.3250 9.3250 9.3250 19.29 19.29 19.29
Positions (direct):
1 Zn 0.0000 0.0000 0.0000
2 In 0.2450 0.2450 0.2450
3 In 0.4772 0.4772 0.4772
4 Fe 0.7334 0.7334 0.7334

Values from the calculation:
space-group type = R3m (160)
electronic total energy = -3.524 eV/atom
size of the total moment = 2.4 μB per formula unit
formation energy = 0.279 eV/atom

---

(19)
## ZnIn2Fe (GGA-PBE)

Data for crystalline ZnIn2Fe at its relaxed geometry.

Lattice parameters (Å, degrees): 4.9883 4.9883 3.0867 90.00 90.00 106.66
Positions (direct):
1 Zn 0.0000 0.0000 0.0000
2 In 0.0000 0.5000 0.5000
3 In 0.5000 0.0000 0.5000
4 Fe 0.5000 0.5000 0.0000

Values from the calculation:
space-group type = Cmmm (65)
electronic total energy = -3.522 eV/atom
size of the total moment = 2.5 μB per formula unit
formation energy = 0.281 eV/atom

---

(20)
## ZnIn2Fe (GGA-PBE)

Data for crystalline ZnIn2Fe at its relaxed geometry.

Lattice parameters (Å, degrees): 7.3057 7.3057 7.3057 96.09 96.09 141.97
Positions (direct):
1 Zn 0.3750 0.6250 0.7500
2 Zn 0.6250 0.3750 0.2500
3 In 0.0000 0.0000 0.0000
4 In 0.0000 0.0000 0.5000
5 In 0.0000 0.5000 0.0000
6 In 0.5000 0.0000 0.5000
7 Fe 0.1250 0.8750 0.2500
8 Fe 0.8750 0.1250 0.7500

Values from the calculation:
space-group type = I4_1/amd (141)
electronic total energy = -3.392 eV/atom
size of the total moment = 1.5 μB per formula unit
formation energy = 0.411 eV/atom